Here is a geometry-optimized CaSmIO6 structure from the Alexandria database. Energies are from PBE.

Properties
- E_tot: -109.27 eV per cell
- Formation energy from raw total energies: -1.846 eV/atom

Cell: 5.7146 5.7146 9.4239 Å, 90.00 90.00 120.00°
Sites, in units of the cell vectors:
1 Ca 0.0000 0.0000 0.0000
2 Ca 0.0000 0.0000 0.5000
3 Sm 0.3333 0.6667 0.2500
4 Sm 0.6667 0.3333 0.7500
5 I 0.6667 0.3333 0.2500
6 I 0.3333 0.6667 0.7500
7 O 0.6666 0.6095 0.1361
8 O 0.9429 0.3334 0.1361
9 O 0.3334 0.9429 0.6361
10 O 0.0571 0.6666 0.8639
11 O 0.3905 0.3334 0.3639
12 O 0.9429 0.6095 0.3639
13 O 0.6095 0.9429 0.8639
14 O 0.6666 0.0571 0.3639
15 O 0.0571 0.3905 0.6361
16 O 0.3905 0.0571 0.1361
17 O 0.6095 0.6666 0.6361
18 O 0.3334 0.3905 0.8639



Here is a geometry-optimized CaSnIO2 structure from the Alexandria database. Energies are from PBE.

Properties
- E_tot: -22.20 eV per cell
- Relative energy among the computed polymorphs: 0 meV/atom
- Formation energy from raw total energies: -0.947 eV/atom

Cell: 4.2766 4.2766 6.0744 Å, 90.00 90.00 90.00°
Sites, in units of the cell vectors:
1 I 0.0000 0.0000 0.5000
2 Ca 0.5000 0.5000 0.5000
3 Sn 0.0000 0.0000 0.0000
4 O 0.0000 0.5000 0.0000
5 O 0.5000 0.0000 0.0000



Here is a geometry-optimized CaSnIO2 structure from the Alexandria database. Energies are from PBE.

Properties
- E_tot: -20.83 eV per cell
- Relative energy among the computed polymorphs: 276 meV/atom
- Formation energy from raw total energies: -0.671 eV/atom

Cell: 4.5357 4.5357 5.9771 Å, 90.00 90.00 90.00°
Sites, in units of the cell vectors:
1 I 0.0000 0.0000 0.5000
2 Ca 0.0000 0.0000 0.0000
3 Sn 0.5000 0.5000 0.5000
4 O 0.0000 0.5000 0.0000
5 O 0.5000 0.0000 0.0000



Here is a geometry-optimized SrCaI2O structure from the Alexandria database. Energies are from PBE.

Properties
- E_tot: -17.97 eV per cell
- Relative energy among the computed polymorphs: 274 meV/atom
- Formation energy from raw total energies: -1.245 eV/atom

Cell: 6.3762 6.3762 4.4261 Å, 90.00 90.00 90.00°
Sites, in units of the cell vectors:
1 I 0.0000 0.5000 0.0000
2 I 0.5000 0.0000 0.0000
3 Sr 0.0000 0.0000 0.0000
4 Ca 0.5000 0.5000 0.5000
5 O 0.0000 0.0000 0.5000



Here is a geometry-optimized SrCaIO2 structure from the Alexandria database. Energies are from PBE.

Properties
- E_tot: -22.29 eV per cell
- Relative energy among the computed polymorphs: 0 meV/atom
- Formation energy from raw total energies: -1.429 eV/atom

Cell: 4.5869 4.5869 5.8455 Å, 90.00 90.00 90.00°
Sites, in units of the cell vectors:
1 I 0.0000 0.0000 0.5000
2 Sr 0.5000 0.5000 0.5000
3 Ca 0.0000 0.0000 0.0000
4 O 0.0000 0.5000 0.0000
5 O 0.5000 0.0000 0.0000



Here is a geometry-optimized Sr2CaIO6 structure from the Alexandria database. Energies are from PBE.

Properties
- E_tot: -56.51 eV per cell
- Formation energy from raw total energies: -1.985 eV/atom

Cell: 6.0134 6.0134 5.9094 Å, 59.40 59.40 59.99°
Sites, in units of the cell vectors:
1 Sr 0.5587 0.5586 0.3244
2 Sr 0.0738 0.0739 0.7782
3 Ca 0.8162 0.8162 0.5515
4 I 0.3162 0.3162 0.0515
5 O 0.5370 0.1647 0.2951
6 O 0.1645 0.0032 0.2960
7 O 0.0034 0.5368 0.2955
8 O 0.4678 0.6290 0.8072
9 O 0.6289 0.0954 0.8077
10 O 0.0951 0.4677 0.8081



Here are the calculated DOS at the Fermi energy numbers, same order: 0.00; 0.17; 0.18; 0.24; 1.03; 0.41 (states/eV per atom).
Here are the calculated total moment numbers, same order: 0.0; 0.0; 1.0; 0.4; 0.0; 0.5 (μB per formula unit).